Entry 1:
# Tm2TiPd (PBE-GGA, relaxed)
# **DOS(E_F)**: 1.204 states/eV/atom
# **Distance to the lowest polymorph of the same formula**: 0.0000 eV/atom
# **Energy of formation from the pure elements**: -33 kJ per mole of atoms
# **ρ**: 9.313 g/cm³
# **Uncorrected energy**: -5.849 eV per atom
data_Tm2TiPd
_symmetry_space_group_name_H-M 'P 4/m m m'
_symmetry_Int_Tables_number 123
_symmetry_space_group_name_Hall '-P 4 2'
_cell_length_a 3.458
_cell_length_b 3.458
_cell_length_c 7.340
_cell_angle_alpha 90.00
_cell_angle_beta 90.00
_cell_angle_gamma 90.00
loop_
_atom_site_label
_atom_site_type_symbol
_atom_site_fract_x
_atom_site_fract_y
_atom_site_fract_z
Tm1 Tm 0.000 0.000 0.231
Ti1 Ti 0.500 0.500 0.500
Pd1 Pd 0.500 0.500 0.000

---

Entry 2:
# TmTiPd4 (PBE-GGA, relaxed)
# **DOS(E_F)**: 0.687 states/eV/atom
# **Distance to the lowest polymorph of the same formula**: 0.0516 eV/atom
# **Energy of formation from the pure elements**: -65 kJ per mole of atoms
# **ρ**: 10.405 g/cm³
# **Uncorrected energy**: -6.195 eV per atom
data_TmTiPd4
_symmetry_space_group_name_H-M 'P 1 21/c 1'
_symmetry_Int_Tables_number 14
_cell_length_a 4.815
_cell_length_b 8.837
_cell_length_c 4.849
_cell_angle_alpha 90.00
_cell_angle_beta 96.28
_cell_angle_gamma 90.00
loop_
_symmetry_equiv_pos_as_xyz
'x,y,z'
'-x,-y,-z'
'-x,y+1/2,-z+1/2'
'x,-y+1/2,z+1/2'
loop_
_atom_site_label
_atom_site_type_symbol
_atom_site_fract_x
_atom_site_fract_y
_atom_site_fract_z
Tm1 Tm 0.000 0.000 0.000
Ti1 Ti 0.500 0.000 0.500
Pd1 Pd 0.000 0.159 0.500
Pd2 Pd 0.500 0.166 0.001

---

Entry 3:
# Tm2TiPd8 (PBE-GGA, relaxed)
# **DOS(E_F)**: 0.517 states/eV/atom
# **Energy of formation from the pure elements**: -67 kJ per mole of atoms
# **ρ**: 10.973 g/cm³
# **Uncorrected energy**: -5.999 eV per atom
data_Tm2TiPd8
_symmetry_space_group_name_H-M 'C 1 2/m 1'
_symmetry_Int_Tables_number 12
_cell_length_a 14.443
_cell_length_b 4.150
_cell_length_c 6.597
_cell_angle_alpha 90.00
_cell_angle_beta 108.77
_cell_angle_gamma 90.00
loop_
_symmetry_equiv_pos_as_xyz
'x,y,z'
'-x,-y,-z'
'-x,y,-z'
'x,-y,z'
'x+1/2,y+1/2,z'
'-x+1/2,-y+1/2,-z'
'-x+1/2,y+1/2,-z'
'x+1/2,-y+1/2,z'
loop_
_atom_site_label
_atom_site_type_symbol
_atom_site_fract_x
_atom_site_fract_y
_atom_site_fract_z
Tm1 Tm 0.217 0.000 0.166
Ti1 Ti 0.000 0.500 0.500
Pd1 Pd 0.035 0.000 0.226
Pd2 Pd 0.092 0.500 0.932
Pd3 Pd 0.138 0.000 0.672
Pd4 Pd 0.170 0.500 0.406

---

Entry 4:
# TmTiPd6 (PBE-GGA, relaxed)
# **DOS(E_F)**: 0.701 states/eV/atom
# **Energy of formation from the pure elements**: -76 kJ per mole of atoms
# **ρ**: 11.025 g/cm³
# **Uncorrected energy**: -6.227 eV per atom
data_TmTiPd6
_symmetry_space_group_name_H-M 'P 4/m m m'
_symmetry_Int_Tables_number 123
_symmetry_space_group_name_Hall '-P 4 2'
_cell_length_a 4.011
_cell_length_b 4.011
_cell_length_c 8.005
_cell_angle_alpha 90.00
_cell_angle_beta 90.00
_cell_angle_gamma 90.00
loop_
_atom_site_label
_atom_site_type_symbol
_atom_site_fract_x
_atom_site_fract_y
_atom_site_fract_z
Tm1 Tm 0.000 0.000 0.000
Ti1 Ti 0.000 0.000 0.500
Pd1 Pd 0.000 0.500 0.264
Pd2 Pd 0.500 0.500 0.000
Pd3 Pd 0.500 0.500 0.500

---

Entry 5:
# TmTiPd14 (PBE-GGA, relaxed)
# **DOS(E_F)**: 1.408 states/eV/atom
# **Energy of formation from the pure elements**: -37 kJ per mole of atoms
# **ρ**: 11.206 g/cm³
# **Uncorrected energy**: -5.695 eV per atom
data_TmTiPd14
_symmetry_space_group_name_H-M 'P 4/m m m'
_symmetry_Int_Tables_number 123
_symmetry_space_group_name_Hall '-P 4 2'
_cell_length_a 5.669
_cell_length_b 5.669
_cell_length_c 7.869
_cell_angle_alpha 90.00
_cell_angle_beta 90.00
_cell_angle_gamma 90.00
loop_
_atom_site_label
_atom_site_type_symbol
_atom_site_fract_x
_atom_site_fract_y
_atom_site_fract_z
Tm1 Tm 0.000 0.000 0.000
Ti1 Ti 0.500 0.500 0.000
Pd1 Pd 0.000 0.000 0.500
Pd2 Pd 0.000 0.500 0.000
Pd3 Pd 0.000 0.500 0.500
Pd4 Pd 0.255 0.255 0.249
Pd5 Pd 0.500 0.500 0.500

---

Entry 6:
# U2TiPd9 (PBE-GGA, relaxed)
# **DOS(E_F)**: 1.404 states/eV/atom
# **Energy of formation from the pure elements**: -51 kJ per mole of atoms
# **ρ**: 12.076 g/cm³
# **Uncorrected energy**: -6.967 eV per atom
data_U2TiPd9
_symmetry_space_group_name_H-M 'P 4/m m m'
_symmetry_Int_Tables_number 123
_symmetry_space_group_name_Hall '-P 4 2'
_cell_length_a 4.091
_cell_length_b 4.091
_cell_length_c 12.177
_cell_angle_alpha 90.00
_cell_angle_beta 90.00
_cell_angle_gamma 90.00
loop_
_atom_site_label
_atom_site_type_symbol
_atom_site_fract_x
_atom_site_fract_y
_atom_site_fract_z
U1 U 0.000 0.000 0.174
Ti1 Ti 0.000 0.000 0.500
Pd1 Pd 0.000 0.500 0.000
Pd2 Pd 0.000 0.500 0.346
Pd3 Pd 0.500 0.500 0.173
Pd4 Pd 0.500 0.500 0.500

---

Entry 7:
# UTiPd14 (PBE-GGA, relaxed)
# **DOS(E_F)**: 1.005 states/eV/atom
# **Energy of formation from the pure elements**: -34 kJ per mole of atoms
# **ρ**: 11.633 g/cm³
# **Uncorrected energy**: -6.095 eV per atom
data_UTiPd14
_symmetry_space_group_name_H-M 'P 4/m m m'
_symmetry_Int_Tables_number 123
_symmetry_space_group_name_Hall '-P 4 2'
_cell_length_a 5.713
_cell_length_b 5.713
_cell_length_c 7.765
_cell_angle_alpha 90.00
_cell_angle_beta 90.00
_cell_angle_gamma 90.00
loop_
_atom_site_label
_atom_site_type_symbol
_atom_site_fract_x
_atom_site_fract_y
_atom_site_fract_z
U1 U 0.000 0.000 0.000
Ti1 Ti 0.500 0.500 0.000
Pd1 Pd 0.000 0.000 0.500
Pd2 Pd 0.000 0.500 0.000
Pd3 Pd 0.000 0.500 0.500
Pd4 Pd 0.252 0.252 0.245
Pd5 Pd 0.500 0.500 0.500

---

Entry 8:
# TiV2Pd8 (PBE-GGA, relaxed)
# **DOS(E_F)**: 0.909 states/eV/atom
# **Energy of formation from the pure elements**: -34 kJ per mole of atoms
# **ρ**: 10.107 g/cm³
# **Uncorrected energy**: -6.504 eV per atom
data_TiV2Pd8
_symmetry_space_group_name_H-M 'C 1 2/m 1'
_symmetry_Int_Tables_number 12
_cell_length_a 13.988
_cell_length_b 3.939
_cell_length_c 6.240
_cell_angle_alpha 90.00
_cell_angle_beta 106.92
_cell_angle_gamma 90.00
loop_
_symmetry_equiv_pos_as_xyz
'x,y,z'
'-x,-y,-z'
'-x,y,-z'
'x,-y,z'
'x+1/2,y+1/2,z'
'-x+1/2,-y+1/2,-z'
'-x+1/2,y+1/2,-z'
'x+1/2,-y+1/2,z'
loop_
_atom_site_label
_atom_site_type_symbol
_atom_site_fract_x
_atom_site_fract_y
_atom_site_fract_z
Ti1 Ti 0.000 0.000 0.000
V1 V 0.223 0.500 0.646
Pd1 Pd 0.044 0.500 0.732
Pd2 Pd 0.101 0.000 0.456
Pd3 Pd 0.143 0.500 0.196
Pd4 Pd 0.181 0.000 0.917

---

Entry 9:
# Ti3VPd12 (PBE-GGA, relaxed)
# **DOS(E_F)**: 0.467 states/eV/atom
# **Energy of formation from the pure elements**: -51 kJ per mole of atoms
# **ρ**: 10.121 g/cm³
# **Uncorrected energy**: -6.478 eV per atom
data_Ti3VPd12
_symmetry_space_group_name_H-M 'P 4/m m m'
_symmetry_Int_Tables_number 123
_symmetry_space_group_name_Hall '-P 4 2'
_cell_length_a 3.919
_cell_length_b 3.919
_cell_length_c 15.723
_cell_angle_alpha 90.00
_cell_angle_beta 90.00
_cell_angle_gamma 90.00
loop_
_atom_site_label
_atom_site_type_symbol
_atom_site_fract_x
_atom_site_fract_y
_atom_site_fract_z
Ti1 Ti 0.000 0.000 0.000
Ti2 Ti 0.000 0.000 0.252
V1 V 0.000 0.000 0.500
Pd1 Pd 0.000 0.500 0.125
Pd2 Pd 0.000 0.500 0.374
Pd3 Pd 0.500 0.500 0.000
Pd4 Pd 0.500 0.500 0.249
Pd5 Pd 0.500 0.500 0.500

---

Entry 10:
# TiV3Pd12 (PBE-GGA, relaxed)
# **DOS(E_F)**: 1.138 states/eV/atom
# **Energy of formation from the pure elements**: -32 kJ per mole of atoms
# **ρ**: 10.269 g/cm³
# **Uncorrected energy**: -6.426 eV per atom
data_TiV3Pd12
_symmetry_space_group_name_H-M 'P 4/m m m'
_symmetry_Int_Tables_number 123
_symmetry_space_group_name_Hall '-P 4 2'
_cell_length_a 3.910
_cell_length_b 3.910
_cell_length_c 15.633
_cell_angle_alpha 90.00
_cell_angle_beta 90.00
_cell_angle_gamma 90.00
loop_
_atom_site_label
_atom_site_type_symbol
_atom_site_fract_x
_atom_site_fract_y
_atom_site_fract_z
Ti1 Ti 0.000 0.000 0.000
V1 V 0.000 0.000 0.252
V2 V 0.000 0.000 0.500
Pd1 Pd 0.000 0.500 0.125
Pd2 Pd 0.000 0.500 0.375
Pd3 Pd 0.500 0.500 0.000
Pd4 Pd 0.500 0.500 0.250
Pd5 Pd 0.500 0.500 0.500

---

Entry 11:
# Ti2VPd7 (PBE-GGA, relaxed)
# **DOS(E_F)**: 0.816 states/eV/atom
# **Energy of formation from the pure elements**: 2 kJ per mole of atoms
# **ρ**: 8.595 g/cm³
# **Uncorrected energy**: -6.108 eV per atom
data_Ti2VPd7
_symmetry_space_group_name_H-M 'C m m m'
_symmetry_Int_Tables_number 65
_symmetry_space_group_name_Hall '-C 2 2'
_cell_length_a 7.437
_cell_length_b 16.454
_cell_length_c 2.816
_cell_angle_alpha 90.00
_cell_angle_beta 90.00
_cell_angle_gamma 90.00
loop_
_atom_site_label
_atom_site_type_symbol
_atom_site_fract_x
_atom_site_fract_y
_atom_site_fract_z
Ti1 Ti 0.000 0.157 0.000
V1 V 0.000 0.500 0.500
Pd1 Pd 0.000 0.000 0.000
Pd2 Pd 0.000 0.284 0.500
Pd3 Pd 0.197 0.401 0.000

---

Entry 12:
# TiVPd2 (PBE-GGA, relaxed)
# **DOS(E_F)**: 1.057 states/eV/atom
# **Distance to the lowest polymorph of the same formula**: 0.3911 eV/atom
# **Energy of formation from the pure elements**: 4 kJ per mole of atoms
# **ρ**: 8.014 g/cm³
# **Uncorrected energy**: -6.810 eV per atom
data_TiVPd2
_symmetry_space_group_name_H-M 'I -4 2 d'
_symmetry_Int_Tables_number 122
_symmetry_space_group_name_Hall 'I -4 2bw'
_cell_length_a 6.964
_cell_length_b 6.964
_cell_length_c 5.326
_cell_angle_alpha 90.00
_cell_angle_beta 90.00
_cell_angle_gamma 90.00
loop_
_atom_site_label
_atom_site_type_symbol
_atom_site_fract_x
_atom_site_fract_y
_atom_site_fract_z
Ti1 Ti 0.000 0.000 0.000
V1 V 0.000 0.000 0.500
Pd1 Pd 0.237 0.750 0.625

---

> Among the records above, which one has the lowest DOS(E_F)?

Ti3VPd12

---

> Number 1 is which compound?

Tm2TiPd

---

> Look up the DOS(E_F) of the fourth one.

0.701 states/eV/atom

---

Copy entry 11 word for word.
# Ti2VPd7 (PBE-GGA, relaxed)
# **DOS(E_F)**: 0.816 states/eV/atom
# **Energy of formation from the pure elements**: 2 kJ per mole of atoms
# **ρ**: 8.595 g/cm³
# **Uncorrected energy**: -6.108 eV per atom
data_Ti2VPd7
_symmetry_space_group_name_H-M 'C m m m'
_symmetry_Int_Tables_number 65
_symmetry_space_group_name_Hall '-C 2 2'
_cell_length_a 7.437
_cell_length_b 16.454
_cell_length_c 2.816
_cell_angle_alpha 90.00
_cell_angle_beta 90.00
_cell_angle_gamma 90.00
loop_
_atom_site_label
_atom_site_type_symbol
_atom_site_fract_x
_atom_site_fract_y
_atom_site_fract_z
Ti1 Ti 0.000 0.157 0.000
V1 V 0.000 0.500 0.500
Pd1 Pd 0.000 0.000 0.000
Pd2 Pd 0.000 0.284 0.500
Pd3 Pd 0.197 0.401 0.000